DFT (PBE+U) results for Rb2MnCdF after structural relaxation.

Cell: 5.3481 5.3481 6.2909 Å, 90.00 90.00 90.00°
With the nearest neighbours (Å) after each atom.
Space group P4/mmm (No. 123)
Asymmetric unit:
Rb1 0.0000 0.5000 0.0000  2 F 2.67
Mn1 0.0000 0.0000 0.5000  4 Cd 3.78, 8 Rb 4.13
Cd1 0.5000 0.5000 0.5000  2 F 3.15
F1 0.5000 0.5000 0.0000  4 Rb 2.67

## Properties
Total DFT energy (no corrections)   -2.99 eV/atom

---

DFT (PBE+U) results for RbMnCdF6 after structural relaxation.

Cell: 5.6975 5.7091 5.8913 Å, 89.97 89.89 60.07°
With the nearest neighbours (Å) after each atom.
Space group P1 (No. 1)
Asymmetric unit:
Rb1 0.0000 0.0000 0.0000  6 F 2.83-2.84
Mn1 0.3334 0.3330 0.4999  6 F 1.93-1.95
Cd1 0.6648 0.6677 0.5000  6 F 2.27-2.28
F1 0.0421 0.6034 0.3130  1 Mn 1.95
F2 0.0428 0.3490 0.6818  1 Mn 1.93
F3 0.3550 0.0431 0.3125  1 Mn 1.94
F4 0.3551 0.5981 0.6882  1 Mn 1.93
F5 0.6030 0.0408 0.6881  1 Mn 1.95
F6 0.6038 0.3514 0.3160  1 Mn 1.93

## Properties
Total DFT energy (no corrections)   -4.64 eV/atom

---

DFT (PBE+U) results for Rb2MnCdF6 after structural relaxation.

Cell: 8.7994 8.7994 8.7994 Å, 90.00 90.00 90.00°
With the nearest neighbours (Å) after each atom.
Space group Fm-3m (No. 225)
Asymmetric unit:
Rb1 0.2500 0.2500 0.2500  12 F 3.11
Mn1 0.0000 0.0000 0.0000  6 F 2.14
Cd1 0.0000 0.0000 0.5000  6 F 2.26
F1 0.0000 0.0000 0.2432  1 Mn 2.14, 1 Cd 2.26

## Properties
Total DFT energy (no corrections)   -4.77 eV/atom

---

DFT (PBE+U) results for Rb4MnCd3F12 after structural relaxation.

Cell: 8.9035 8.9035 8.9035 Å, 90.00 90.00 90.00°
With the nearest neighbours (Å) after each atom.
Space group Im-3m (No. 229)
Asymmetric unit:
Rb1 0.2500 0.2500 0.2500  12 F 3.15
Mn1 0.0000 0.0000 0.0000  6 F 2.16
Cd1 0.0000 0.0000 0.5000  6 F 2.23-2.29
F1 0.0000 0.0000 0.2425  1 Mn 2.16, 1 Cd 2.29
F2 0.0000 0.2500 0.5000  2 Cd 2.23

## Properties
Total DFT energy (no corrections)   -4.36 eV/atom